Entry 1:
! GGA-PBE Mn3VPd6, relaxed; values from VASP
&SYSTEM
  ibrav = 0, nat = 20, ntyp = 3
/
ATOMIC_SPECIES
Mn 54.94 Mn.upf
V 50.94 V.upf
Pd 106.42 Pd.upf
CELL_PARAMETERS angstrom
-3.5632 0.1574 2.7651
-4.4311 1.0714 -5.7708
1.3614 -9.5330 2.2969
ATOMIC_POSITIONS angstrom
Mn -2.8714 -2.9377 -1.6915
Mn -3.7615 -5.3665 0.9826
Mn -1.4126 -6.9132 0.4146
Mn -5.2203 -1.3910 -1.1235
Mn -3.0031 -8.4184 -1.5493
Mn -3.6297 0.1142 0.8405
V -4.3779 -4.3732 -3.5510
V -2.2549 -3.9310 2.8422
Pd -2.8695 -0.1655 -1.8468
Pd -3.7633 -8.1387 1.1380
Pd -1.3959 -1.4022 0.1224
Pd -5.2369 -6.9020 -0.8312
Pd -2.8985 -5.6461 -1.5723
Pd -3.7343 -2.6581 0.8634
Pd -1.3896 -4.2064 0.2902
Pd -5.2433 -4.0977 -0.9990
Pd -4.3415 -1.6889 -3.6570
Pd -2.2913 -6.6153 2.9481
Pd -0.0119 -8.1346 2.2890
Pd -6.6209 -0.1696 -2.9978
! * space-group type: No. 11
! * energy relative to the elements: -0.202 eV per atom

Entry 2:
! GGA-PBE KP3N, relaxed; values from VASP
&SYSTEM
  ibrav = 0, nat = 5, ntyp = 3
/
ATOMIC_SPECIES
P 30.97 P.upf
K 39.10 K.upf
N 14.01 N.upf
CELL_PARAMETERS angstrom
5.6343 0.0000 0.0000
0.0000 5.6343 0.0000
0.0000 0.0000 5.6343
ATOMIC_POSITIONS angstrom
P 0.0000 2.8171 0.0000
P 0.0000 0.0000 2.8171
P 2.8171 0.0000 0.0000
K 0.0000 0.0000 0.0000
N 2.8171 2.8171 2.8171
! * space-group type: No. 221
! * relative energy among the computed polymorphs: 2001.9 meV/atom
! * formation energy from raw total energies: 1441 kJ/mol of formula units

Number 1: electronic total energy -6.9804 eV per atom. Number 2: electronic total energy -2.1427 eV per atom.